1:
A plane-wave DFT calculation with PBE-GGA was carried out for crystalline Tl2InCl at its relaxed geometry.

a = 3.7322 Å, b = 3.7322 Å, c = 29.6628 Å
α = 90.00°, β = 90.00°, γ = 120.00°
Last column: nearest neighbours and their distance in Å.
Space group R3m (No. 160, hexagonal axes)
Asymmetric unit:
Tl  0.0000  0.0000  0.0000 [3 per cell]  3 Cl 3.11, 3 In 3.43
Tl  0.0000  0.0000  0.1806 [3 per cell]  3 Cl 3.15, 3 In 3.44
In  0.0000  0.0000  0.4233 [3 per cell]  6 Tl 3.43-3.44, 6 In 3.73
Cl  0.0000  0.0000  0.5912 [3 per cell]  6 Tl 3.11-3.15

=====

2:
A plane-wave DFT calculation with PBE-GGA was carried out for crystalline Tl2InCl at its relaxed geometry.

a = 3.7600 Å, b = 5.2864 Å, c = 5.9119 Å
α = 90.00°, β = 90.00°, γ = 90.00°
Last column: nearest neighbours and their distance in Å.
Space group Pmmm (No. 47)
Asymmetric unit:
Tl  0.0000  0.0000  0.0000 [1 per cell]  4 Cl 3.24, 4 Tl 3.50
Tl  0.5000  0.0000  0.5000 [1 per cell]  4 In 3.24, 4 Tl 3.50
In  0.0000  0.5000  0.5000 [1 per cell]  4 Tl 3.24, 4 Cl 3.50
Cl  0.5000  0.5000  0.0000 [1 per cell]  4 Tl 3.24, 4 In 3.50

=====

Stability check: which of them is least stable? 1.

=====

1:
A plane-wave DFT calculation with PBE-GGA was carried out for crystalline Tl2InCl at its relaxed geometry.

a = 3.9876 Å, b = 5.1410 Å, c = 11.7794 Å
α = 90.00°, β = 90.00°, γ = 90.00°
Last column: nearest neighbours and their distance in Å.
Space group Imm2 (No. 44)
Asymmetric unit:
Tl  0.0000  0.0000  0.0000 [2 per cell]  4 In 3.29, 2 Cl 3.43
Tl  0.0000  0.5000  0.2272 [2 per cell]  4 Cl 3.25
In  0.0000  0.0000  0.4557 [2 per cell]  2 Cl 3.26, 4 Tl 3.29
Cl  0.0000  0.5000  0.7367 [2 per cell]  6 Tl 3.25-3.43, 2 In 3.26

=====

2:
A plane-wave DFT calculation with PBE-GGA was carried out for crystalline Tl2InCl at its relaxed geometry.

a = 5.6031 Å, b = 5.6031 Å, c = 3.6774 Å
α = 90.00°, β = 90.00°, γ = 90.00°
Last column: nearest neighbours and their distance in Å.
Space group P4/mmm (No. 123)
Asymmetric unit:
Tl  0.0000  0.5000  0.0000 [2 per cell]  4 Cl 3.35, 4 In 3.35, 2 Tl 3.68
In  0.0000  0.0000  0.5000 [1 per cell]  8 Tl 3.35, 2 In 3.68
Cl  0.5000  0.5000  0.5000 [1 per cell]  8 Tl 3.35, 2 Cl 3.68

=====

Stability check: which of them is least stable? 1.